This record from the Alexandria database describes Y3Ga4Ni4 after structural relaxation. The functional is PBE.

The formation energy is -55 kJ/mol of atoms. Its total energy is -5.540 eV/atom. As for the space group: No. 2.

a = 3.8281 Å, b = 4.1269 Å, c = 12.7997 Å
α = 80.66°, β = 81.41°, γ = 90.00°
Closest atoms and distances in Å follow each position.
Fractional coordinates of all 11 atoms:
Ga (0.2527, 0.2528, 0.4955)  4 Ni 2.43-2.48
Y (0.8522, 0.3522, 0.2963)  6 Ni 3.02-3.15, 8 Ga 3.09-3.32
Ga (0.7473, 0.7472, 0.5045)  4 Ni 2.43-2.48
Ni (0.6934, 0.1911, 0.6149)  5 Ga 2.39-2.48
Ni (0.4515, 0.4530, 0.0958)  1 Ni 2.39, 2 Ga 2.40
Ga (0.4037, 0.9036, 0.1940)  3 Ni 2.39-2.40
Y (0.1478, 0.6478, 0.7037)  6 Ni 3.02-3.15, 8 Ga 3.09-3.32
Ni (0.5486, 0.5470, 0.9042)  1 Ni 2.39, 2 Ga 2.40
Ni (0.3067, 0.8089, 0.3851)  5 Ga 2.39-2.48
Ga (0.5963, 0.0965, 0.8060)  3 Ni 2.39-2.40
Y (0.0000, 0.0000, 0.0000)  8 Ni 3.05-3.06, 4 Ga 3.09


This record from the Alexandria database describes PaBSe after structural relaxation. The functional is PBE.

Its total energy is -7.218 eV/atom. As for the space group: No. 12.

a = 3.9070 Å, b = 3.9932 Å, c = 10.7058 Å
α = 74.56°, β = 79.49°, γ = 60.71°
Closest atoms and distances in Å follow each position.
Fractional coordinates of all 6 atoms:
Se (0.2581, 0.9681, 0.3933)  3 Pa 2.84-2.85
Se (0.8777, 0.3734, 0.7484)  3 Pa 2.84-2.85
Pa (0.6192, 0.4099, 0.2293)  5 B 2.54-2.81, 2 Se 2.84
B (0.9594, 0.8512, 0.1077)  1 B 1.61
Pa (0.5166, 0.9316, 0.9124)  5 B 2.54-2.81, 2 Se 2.84
B (0.1765, 0.4903, 0.0340)  1 B 1.61


This record from the Alexandria database describes TaAs2Pt after structural relaxation. The functional is PBE.

The formation energy is -21 kJ/mol of atoms. Its total energy is -7.012 eV/atom. As for the space group: No. 123.

a = 4.4071 Å, b = 4.4071 Å, c = 3.3725 Å
α = 90.00°, β = 90.00°, γ = 90.00°
Closest atoms and distances in Å follow each position.
Fractional coordinates of all 4 atoms:
As (0.5000, 0.5000, 0.0000)  4 Ta 2.77, 4 Pt 2.77
Pt (0.5000, 0.0000, 0.5000)  8 As 2.77
As (0.0000, 0.0000, 0.0000)  4 Pt 2.77, 4 Ta 2.77
Ta (0.0000, 0.5000, 0.5000)  8 As 2.77


This record from the Alexandria database describes LiNb2Rh3 after structural relaxation. The functional is PBE.

The formation energy is -37 kJ/mol of atoms. Its total energy is -7.733 eV/atom. As for the space group: No. 123.

a = 2.9997 Å, b = 2.9997 Å, c = 9.9592 Å
α = 90.00°, β = 90.00°, γ = 90.00°
Closest atoms and distances in Å follow each position.
Fractional coordinates of all 6 atoms:
Rh (0.0000, 0.0000, 0.3537)  4 Li 2.57, 4 Nb 2.69
Rh (0.0000, 0.0000, 0.0000)  8 Nb 2.82, 4 Rh 3.00
Nb (0.5000, 0.5000, 0.1871)  8 Rh 2.69-2.82, 4 Nb 3.00
Li (0.5000, 0.5000, 0.5000)  8 Rh 2.57
Rh (0.0000, 0.0000, 0.6463)  4 Li 2.57, 4 Nb 2.69
Nb (0.5000, 0.5000, 0.8129)  8 Rh 2.69-2.82, 4 Nb 3.00


This record from the Alexandria database describes AlCr2Co after structural relaxation. The functional is PBE.

The formation energy is 15 kJ/mol of atoms. Its total energy is -7.369 eV/atom. As for the space group: No. 166.

a = 8.4879 Å, b = 8.4879 Å, c = 8.4879 Å
α = 17.51°, β = 17.51°, γ = 17.51°
Closest atoms and distances in Å follow each position.
Fractional coordinates of all 4 atoms:
Cr (0.4957, 0.4957, 0.4957)  3 Co 2.48, 6 Cr 2.58, 3 Al 2.66
Al (0.2500, 0.2500, 0.2500)  6 Al 2.58, 6 Cr 2.66
Co (0.7500, 0.7500, 0.7500)  6 Cr 2.48, 6 Co 2.58
Cr (0.0043, 0.0043, 0.0043)  3 Co 2.48, 6 Cr 2.58, 3 Al 2.66


This record from the Alexandria database describes Zr2BeOs after structural relaxation. The functional is PBE.

The formation energy is -29 kJ/mol of atoms. Its total energy is -8.313 eV/atom. As for the space group: No. 123.

a = 7.2754 Å, b = 4.6053 Å, c = 3.2470 Å
α = 89.99°, β = 63.51°, γ = 129.25°
Closest atoms and distances in Å follow each position.
Fractional coordinates of all 4 atoms:
Be (0.0000, 0.5000, 0.5000)  8 Zr 2.82
Zr (0.0000, 0.0000, 0.0000)  4 Os 2.82, 4 Be 2.82
Os (0.5000, 0.5000, 0.0000)  8 Zr 2.82
Zr (0.5000, 0.0000, 0.5000)  4 Be 2.82, 4 Os 2.82


This record from the Alexandria database describes K4TlCl after structural relaxation. The functional is PBE.

Its total energy is -1.555 eV/atom. As for the space group: No. 216.

a = 7.6363 Å, b = 7.6363 Å, c = 7.6363 Å
α = 60.00°, β = 60.00°, γ = 60.00°
Closest atoms and distances in Å follow each position.
Fractional coordinates of all 6 atoms:
K (0.3748, 0.3748, 0.3748)  6 K 3.81-3.82
K (0.8755, 0.3748, 0.3748)  6 K 3.81-3.82
K (0.3748, 0.8755, 0.3748)  6 K 3.81-3.82
Cl (0.0000, 0.0000, 0.0000)  12 K 4.48, 4 Tl 4.68
Tl (0.7500, 0.7500, 0.7500)  12 K 4.48, 4 Cl 4.68
K (0.3748, 0.3748, 0.8755)  6 K 3.81-3.82


This record from the Alexandria database describes DyTm6Sc2 after structural relaxation. The functional is PBE.

The formation energy is 11 kJ/mol of atoms. Its total energy is -4.787 eV/atom. As for the space group: No. 15.

a = 6.2941 Å, b = 9.3105 Å, c = 9.3105 Å
α = 97.08°, β = 81.14°, γ = 81.14°
Closest atoms and distances in Å follow each position.
Fractional coordinates of all 18 atoms:
Dy (0.7500, 0.8822, 0.1178)  10 Tm 3.27-3.64
Tm (0.5094, 0.6407, 0.2752)  5 Tm 3.19-3.42, 3 Sc 3.20-3.37, 1 Dy 3.27
Tm (0.4906, 0.3593, 0.7248)  5 Tm 3.19-3.42, 3 Sc 3.20-3.37, 1 Dy 3.27
Tm (0.7169, 0.0721, 0.4552)  6 Tm 3.26-3.40, 2 Sc 3.32-3.41, 1 Dy 3.37
Tm (0.1913, 0.0552, 0.2303)  2 Sc 3.32-3.38, 3 Dy 3.34-3.64, 3 Tm 3.34-3.42
Sc (0.6373, 0.6535, 0.6145)  3 Sc 3.19-3.28, 7 Tm 3.20-3.41
Sc (0.8627, 0.3855, 0.3465)  3 Sc 3.19-3.28, 7 Tm 3.20-3.41
Tm (0.2169, 0.4552, 0.0721)  6 Tm 3.26-3.40, 2 Sc 3.32-3.41, 1 Dy 3.37
Tm (0.7831, 0.5448, 0.9279)  6 Tm 3.26-3.40, 2 Sc 3.32-3.41, 1 Dy 3.37
Tm (0.0094, 0.2752, 0.6407)  5 Tm 3.19-3.42, 3 Sc 3.20-3.37, 1 Dy 3.27
Tm (0.6913, 0.2303, 0.0552)  2 Sc 3.32-3.38, 3 Dy 3.34-3.64, 3 Tm 3.34-3.42
Sc (0.3627, 0.3465, 0.3855)  3 Sc 3.19-3.28, 7 Tm 3.20-3.41
Tm (0.3087, 0.7697, 0.9448)  2 Sc 3.32-3.38, 3 Dy 3.34-3.64, 3 Tm 3.34-3.42
Dy (0.2500, 0.1178, 0.8822)  10 Tm 3.27-3.64
Tm (0.9906, 0.7248, 0.3593)  5 Tm 3.19-3.42, 3 Sc 3.20-3.37, 1 Dy 3.27
Sc (0.1373, 0.6145, 0.6535)  3 Sc 3.19-3.28, 7 Tm 3.20-3.41
Tm (0.8087, 0.9448, 0.7697)  2 Sc 3.32-3.38, 3 Dy 3.34-3.64, 3 Tm 3.34-3.42
Tm (0.2831, 0.9279, 0.5448)  6 Tm 3.26-3.40, 2 Sc 3.32-3.41, 1 Dy 3.37


Repeat the eighth record exactly.
This record from the Alexandria database describes DyTm6Sc2 after structural relaxation. The functional is PBE.

The formation energy is 11 kJ/mol of atoms. Its total energy is -4.787 eV/atom. As for the space group: No. 15.

a = 6.2941 Å, b = 9.3105 Å, c = 9.3105 Å
α = 97.08°, β = 81.14°, γ = 81.14°
Closest atoms and distances in Å follow each position.
Fractional coordinates of all 18 atoms:
Dy (0.7500, 0.8822, 0.1178)  10 Tm 3.27-3.64
Tm (0.5094, 0.6407, 0.2752)  5 Tm 3.19-3.42, 3 Sc 3.20-3.37, 1 Dy 3.27
Tm (0.4906, 0.3593, 0.7248)  5 Tm 3.19-3.42, 3 Sc 3.20-3.37, 1 Dy 3.27
Tm (0.7169, 0.0721, 0.4552)  6 Tm 3.26-3.40, 2 Sc 3.32-3.41, 1 Dy 3.37
Tm (0.1913, 0.0552, 0.2303)  2 Sc 3.32-3.38, 3 Dy 3.34-3.64, 3 Tm 3.34-3.42
Sc (0.6373, 0.6535, 0.6145)  3 Sc 3.19-3.28, 7 Tm 3.20-3.41
Sc (0.8627, 0.3855, 0.3465)  3 Sc 3.19-3.28, 7 Tm 3.20-3.41
Tm (0.2169, 0.4552, 0.0721)  6 Tm 3.26-3.40, 2 Sc 3.32-3.41, 1 Dy 3.37
Tm (0.7831, 0.5448, 0.9279)  6 Tm 3.26-3.40, 2 Sc 3.32-3.41, 1 Dy 3.37
Tm (0.0094, 0.2752, 0.6407)  5 Tm 3.19-3.42, 3 Sc 3.20-3.37, 1 Dy 3.27
Tm (0.6913, 0.2303, 0.0552)  2 Sc 3.32-3.38, 3 Dy 3.34-3.64, 3 Tm 3.34-3.42
Sc (0.3627, 0.3465, 0.3855)  3 Sc 3.19-3.28, 7 Tm 3.20-3.41
Tm (0.3087, 0.7697, 0.9448)  2 Sc 3.32-3.38, 3 Dy 3.34-3.64, 3 Tm 3.34-3.42
Dy (0.2500, 0.1178, 0.8822)  10 Tm 3.27-3.64
Tm (0.9906, 0.7248, 0.3593)  5 Tm 3.19-3.42, 3 Sc 3.20-3.37, 1 Dy 3.27
Sc (0.1373, 0.6145, 0.6535)  3 Sc 3.19-3.28, 7 Tm 3.20-3.41
Tm (0.8087, 0.9448, 0.7697)  2 Sc 3.32-3.38, 3 Dy 3.34-3.64, 3 Tm 3.34-3.42
Tm (0.2831, 0.9279, 0.5448)  6 Tm 3.26-3.40, 2 Sc 3.32-3.41, 1 Dy 3.37